[1]
A relaxed structure of Tl5Zn12Hg3, computed with PBE-GGA.

The density of states at the Fermi level comes out at 7.218 states/eV/f.u. Its crystal system is cubic. The volume is 4154 Å³/cell. The calculation puts the total magnetization at 0.00 μB/cell. For the total energy, the calculation gives -1.129 eV per atom. Its energy relative to the elements is 0.272 eV per atom.

The structure belongs to space group Ia-3d (No. 230); the cell edges are 16.076, 16.076 and 16.076 Å and the angles 90.00°, 90.00° and 90.00°. The asymmetric unit holds Tl at (0.000, 0.000, 0.000), Tl at (0.000, 0.250, 0.375), Zn at (0.001, 0.081, 0.655) and Hg at (0.000, 0.250, 0.125).

[2]
A relaxed structure of As3Ru, computed with PBE-GGA.

The density of states at the Fermi level comes out at 3.820 states/eV/f.u. Its crystal system is cubic. The relative energy among the computed polymorphs is 255 meV/atom. The volume is 142 Å³/cell. The calculation puts the total magnetization at 0.00 μB/cell. For the total energy, the calculation gives -5.575 eV per atom. Its energy relative to the elements is 0.231 eV per atom.

The structure belongs to space group Im-3m (No. 229); the cell edges are 5.212, 5.212 and 5.212 Å and the angles 90.00°, 90.00° and 90.00°. The asymmetric unit holds As at (0.000, 0.000, 0.500) and Ru at (0.000, 0.000, 0.000).

[3]
A relaxed structure of LiNi6, computed with PBE-GGA.

The density of states at the Fermi level comes out at 11.076 states/eV/f.u. Its crystal system is cubic. The volume is 243 Å³/cell. The calculation puts the total magnetization at 9.22 μB/cell. For the total energy, the calculation gives -4.431 eV per atom. Its energy relative to the elements is 0.798 eV per atom.

The structure belongs to space group Im-3m (No. 229); the cell edges are 6.237, 6.237 and 6.237 Å and the angles 90.00°, 90.00° and 90.00°. The asymmetric unit holds Li at (0.000, 0.000, 0.000) and Ni at (0.000, 0.250, 0.500).

[4]
A relaxed structure of UNiAgS4, computed with PBE-GGA.

As for the energy relative to the elements, uncorrected: -0.651 eV per atom. The density of states at the Fermi level comes out at 3.211 states/eV/f.u. Its crystal system is monoclinic. The volume is 287 Å³/cell. The calculation puts the total magnetization at 0.00 μB/cell. For the total energy, the calculation gives -5.855 eV per atom.

The structure belongs to space group P2_1/m (No. 11); the cell edges are 6.412, 5.818 and 7.702 Å and the angles 90.00°, 90.59° and 90.00°. The asymmetric unit holds U at (0.245, 0.250, 0.063), Ni at (0.281, 0.750, 0.855), Ag at (0.125, 0.250, 0.498), S at (0.058, 0.011, 0.783), S at (0.411, 0.750, 0.113) and S at (0.457, 0.250, 0.336).

[5]
A relaxed structure of CaPu2Cl11, computed with PBE-GGA.

As for the energy relative to the elements, uncorrected: -1.601 eV per atom. The density of states at the Fermi level comes out at 21.192 states/eV/f.u. Its crystal system is orthorhombic. The volume is 1793 Å³/cell. The calculation puts the total magnetization at 28.00 μB/cell. For the total energy, the calculation gives -5.242 eV per atom.

The structure belongs to space group Ibam (No. 72); the cell edges are 11.608, 11.714 and 13.184 Å and the angles 90.00°, 90.00° and 90.00°. The asymmetric unit holds Ca at (0.000, 0.000, 0.250), Pu at (0.168, 0.336, 0.000), Cl at (0.000, 0.500, 0.000), Cl at (0.065, 0.219, 0.137), Cl at (0.185, 0.312, 0.500) and Cl at (0.210, 0.060, 0.364).

[6]
A relaxed structure of K2OsRu, computed with PBE-GGA.

The density of states at the Fermi level comes out at 1.818 states/eV/f.u. Its crystal system is trigonal. The relative energy among the computed polymorphs is 571 meV/atom. The volume is 234 Å³/cell. The calculation puts the total magnetization at 0.00 μB/cell. For the total energy, the calculation gives -4.407 eV per atom. Its energy relative to the elements is 1.268 eV per atom.

The structure belongs to space group R-3m (No. 166, hexagonal axes); the cell edges are 2.7938, 2.7938 and 34.6557 Å and the angles 90.00°, 90.00° and 120.00°. The asymmetric unit holds K at (0.0000, 0.0000, 0.2493), Os at (0.0000, 0.0000, 0.0000) and Ru at (0.0000, 0.0000, 0.5000).

[7]
A relaxed structure of AsPdPb, computed with PBE-GGA.

The density of states at the Fermi level comes out at 2.238 states/eV/f.u. Its crystal system is cubic. The relative energy among the computed polymorphs is 83 meV/atom. The volume is 273 Å³/cell. The calculation puts the total magnetization at 0.00 μB/cell. For the total energy, the calculation gives -4.643 eV per atom. Its energy relative to the elements is -0.126 eV per atom.

The structure belongs to space group F-43m (No. 216); the cell edges are 6.491, 6.491 and 6.491 Å and the angles 90.00°, 90.00° and 90.00°. The asymmetric unit holds As at (0.000, 0.000, 0.000), Pd at (0.250, 0.250, 0.250) and Pb at (0.000, 0.000, 0.500).

[8]
A relaxed structure of LaCrHg2Sb, computed with PBE-GGA.

As for the energy relative to the elements, uncorrected: 0.779 eV per atom. The density of states at the Fermi level comes out at 4.146 states/eV/f.u. Its crystal system is tetragonal. The volume is 219 Å³/cell. The calculation puts the total magnetization at 4.86 μB/cell. For the total energy, the calculation gives -3.077 eV per atom.

The structure belongs to space group P4/mmm (No. 123); the cell edges are 6.006, 6.006 and 6.059 Å and the angles 90.00°, 90.00° and 90.00°. The asymmetric unit holds La at (0.000, 0.000, 0.000), Cr at (0.500, 0.500, 0.500), Hg at (0.000, 0.500, 0.000) and Sb at (0.000, 0.000, 0.500).